<A>
3
Lattice="-0.720 -0.803 -2.377 2.512 0.494 0.505 0.760 -5.552 1.644" Properties=species:S:1:pos:R:3 comment="SCAN MnBeOs, single point on PBEsol structure" sg=P3m1 magnetic_moment_mub_per_atom=0.8614 crystal_system=trigonal pbc="T T T"
Mn 1.947 -3.676 0.651
Os 0.612 -2.229 -0.866
Be 0.754 -5.508 1.631

---

<B>
3
Lattice="2.750 0.000 0.000 0.000 2.750 0.000 -1.375 -1.375 4.226" Properties=species:S:1:pos:R:3 comment="SCAN MnBeOs, single point on PBEsol structure" sg=I4mm magnetic_moment_mub_per_atom=0.0016 crystal_system=tetragonal pbc="T T T"
Be 0.000 0.000 0.064
Mn 1.375 1.375 1.328
Os 0.000 0.000 2.834

---

Stability summary - winner: <B>; margin: 265 meV/atom.